[1]
## OsPt4Rh2 (PBE)

Data for crystalline OsPt4Rh2 at its relaxed geometry. Values from VASP.

```
&SYSTEM
  ibrav = 0, nat = 14, ntyp = 3
/
ATOMIC_SPECIES
Os 190.23 Os.upf
Pt 195.08 Pt.upf
Rh 102.91 Rh.upf
CELL_PARAMETERS angstrom
-0.230 8.946 -1.017
-2.324 -7.912 -3.624
-4.709 0.178 2.632
ATOMIC_POSITIONS angstrom
Os -4.809 0.651 -0.347
Os -2.455 0.562 -1.663
Pt -1.010 2.669 -1.988
Pt -1.545 -1.634 -2.653
Pt -3.364 2.758 -0.672
Pt -3.899 -1.545 -1.337
Pt -4.694 -3.822 0.162
Pt -3.647 4.607 1.465
Pt -2.339 -3.911 -1.154
Pt -1.292 4.518 0.149
Rh -0.512 6.674 -1.369
Rh -2.042 -5.639 -3.272
Rh -2.867 6.763 -0.053
Rh -4.396 -5.550 -1.956
```

Properties
The crystal system is orthorhombic. The calculation puts the calculated formation energy at 0.58 eV per atom. The value obtained for the energy above the most stable polymorph in this dataset is 182 meV per atom.


[2]
## BaNiCl2 (PBE)

Data for crystalline BaNiCl2 at its relaxed geometry. Values from VASP.

```
&SYSTEM
  ibrav = 0, nat = 4, ntyp = 3
/
ATOMIC_SPECIES
Ni 58.69 Ni.upf
Ba 137.33 Ba.upf
Cl 35.45 Cl.upf
CELL_PARAMETERS angstrom
5.193 0.000 0.000
2.596 4.497 0.000
2.596 1.499 4.240
ATOMIC_POSITIONS angstrom
Ni 7.789 4.497 3.180
Ba 5.193 2.998 2.120
Cl 0.000 0.000 0.000
Cl 2.596 1.499 1.060
```

Properties
The crystal system is cubic. The value obtained for the energy above the most stable polymorph in this dataset is 713 meV per atom.


[3]
## La4SnTe2S (PBE)

Data for crystalline La4SnTe2S at its relaxed geometry. Values from VASP.

```
&SYSTEM
  ibrav = 0, nat = 16, ntyp = 4
/
ATOMIC_SPECIES
La 138.91 La.upf
Sn 118.71 Sn.upf
Te 127.60 Te.upf
S 32.06 S.upf
CELL_PARAMETERS angstrom
-4.197 7.357 3.093
-2.292 -4.458 7.496
8.698 0.440 -2.583
ATOMIC_POSITIONS angstrom
La 5.939 -1.201 3.819
La 0.658 4.517 2.986
La 1.551 -1.178 5.021
La -3.730 4.540 4.186
La 3.642 2.640 5.400
La -0.340 2.438 6.582
La 2.549 0.900 1.423
La -1.433 0.699 2.606
Sn -1.145 -2.229 3.748
Sn -0.994 5.348 5.550
Te -2.098 3.679 1.547
Te 2.250 3.898 0.255
Te -2.140 3.119 9.297
Te 5.453 1.890 2.711
S 1.105 1.669 4.003
S 6.406 -4.018 4.912
```

Properties
The crystal system is orthorhombic.


[4]
## Ac2ZrCuSe5 (PBE)

Data for crystalline Ac2ZrCuSe5 at its relaxed geometry. Values from VASP.

```
&SYSTEM
  ibrav = 0, nat = 18, ntyp = 4
/
ATOMIC_SPECIES
Ac 227.00 Ac.upf
Zr 91.22 Zr.upf
Cu 63.55 Cu.upf
Se 78.96 Se.upf
CELL_PARAMETERS angstrom
4.163 0.000 0.000
-2.082 8.979 0.000
0.000 0.000 12.340
ATOMIC_POSITIONS angstrom
Ac 2.082 6.755 10.112
Ac 0.000 2.151 8.628
Ac 0.000 2.224 3.942
Ac 2.082 6.828 2.458
Zr 2.082 5.639 6.356
Zr 0.000 3.341 0.186
Cu 2.082 1.228 11.602
Cu 0.000 7.751 5.432
Se 0.000 6.205 0.133
Se 2.082 3.517 10.658
Se 0.000 8.965 9.494
Se 0.000 5.325 8.225
Se 2.082 8.222 6.660
Se 2.082 2.774 6.302
Se 0.000 5.462 4.489
Se 2.082 0.014 3.324
Se 2.082 3.654 2.055
Se 0.000 0.757 0.490
```

Properties
The crystal system is orthorhombic.


[5]
## PmPrTl3 (PBE)

Data for crystalline PmPrTl3 at its relaxed geometry. Values from VASP.

```
&SYSTEM
  ibrav = 0, nat = 20, ntyp = 3
/
ATOMIC_SPECIES
Pm 145.00 Pm.upf
Pr 140.91 Pr.upf
Tl 204.38 Tl.upf
CELL_PARAMETERS angstrom
0.650 7.132 4.011
-8.006 -0.618 -1.703
-1.613 -5.172 9.458
ATOMIC_POSITIONS angstrom
Pm 0.325 3.566 2.006
Pm -0.482 0.980 6.734
Pm -4.003 -0.309 -0.852
Pm -4.809 -2.895 3.877
Pr -7.713 5.180 4.658
Pr -1.256 -3.839 7.108
Pr -3.251 1.229 3.258
Pr -5.718 0.113 8.508
Tl -4.373 4.244 4.716
Tl -4.596 -2.902 7.050
Tl -2.326 -0.869 8.549
Tl -6.643 2.211 3.216
Tl -2.161 -1.365 5.125
Tl -7.603 0.154 11.308
Tl -6.808 2.706 6.641
Tl -1.366 1.188 0.458
Tl -4.685 2.355 0.489
Tl -3.477 1.573 6.548
Tl -2.671 4.159 1.819
Tl -5.492 -0.231 5.218
```

Properties
The crystal system is orthorhombic. The calculation puts the calculated formation energy at 0.01 eV per atom.


[6]
## Cs2PdS (PBE)

Data for crystalline Cs2PdS at its relaxed geometry. Values from VASP.

```
&SYSTEM
  ibrav = 0, nat = 8, ntyp = 3
/
ATOMIC_SPECIES
Cs 132.91 Cs.upf
Pd 106.42 Pd.upf
S 32.06 S.upf
CELL_PARAMETERS angstrom
-0.302 4.005 -5.064
1.369 -4.399 -4.533
-7.587 -1.252 4.074
ATOMIC_POSITIONS angstrom
Cs 0.330 -0.122 -2.972
Cs -3.678 1.278 -2.894
Cs 0.736 -0.272 -6.625
Cs -2.842 -2.924 -2.629
Pd -0.036 2.668 -4.979
Pd 1.103 -3.062 -4.618
S -4.511 -1.233 -5.317
S -2.010 -0.413 -0.206
```

Properties
The crystal system is orthorhombic. The value obtained for the energy above the most stable polymorph in this dataset is 0 meV per atom.


[7]
## ZrRhSe2 (PBE)

Data for crystalline ZrRhSe2 at its relaxed geometry. Values from VASP.

```
&SYSTEM
  ibrav = 0, nat = 4, ntyp = 3
/
ATOMIC_SPECIES
Rh 102.91 Rh.upf
Se 78.96 Se.upf
Zr 91.22 Zr.upf
CELL_PARAMETERS angstrom
4.710 0.000 0.000
2.355 4.079 0.000
2.355 1.360 3.846
ATOMIC_POSITIONS angstrom
Rh 4.710 2.719 1.923
Se 0.000 0.000 0.000
Se 7.065 4.079 2.884
Zr 2.355 1.360 0.961
```

Properties
The crystal system is cubic. The value obtained for the energy above the most stable polymorph in this dataset is 608 meV per atom.


[8]
## Li2ZrMo (PBE)

Data for crystalline Li2ZrMo at its relaxed geometry. Values from VASP.

```
&SYSTEM
  ibrav = 0, nat = 8, ntyp = 3
/
ATOMIC_SPECIES
Mo 95.94 Mo.upf
Zr 91.22 Zr.upf
Li 6.94 Li.upf
CELL_PARAMETERS angstrom
7.396 0.000 0.000
0.000 7.396 0.000
3.698 3.698 2.526
ATOMIC_POSITIONS angstrom
Mo 0.000 0.000 0.000
Mo 7.396 3.698 1.263
Zr 3.698 3.698 0.000
Zr 3.698 7.396 1.263
Li 5.657 1.849 0.632
Li 1.739 5.547 0.632
Li 5.547 5.438 1.895
Li 9.245 9.355 1.895
```

Properties
The crystal system is tetragonal. The calculation puts the calculated formation energy at 0.68 eV per atom. The value obtained for the energy above the most stable polymorph in this dataset is 454 meV per atom.


[9]
## BeCrSb2 (PBE)

Data for crystalline BeCrSb2 at its relaxed geometry. Values from VASP.

```
&SYSTEM
  ibrav = 0, nat = 4, ntyp = 3
/
ATOMIC_SPECIES
Sb 121.76 Sb.upf
Be 9.01 Be.upf
Cr 52.00 Cr.upf
CELL_PARAMETERS angstrom
5.880 0.014 0.000
3.324 4.851 0.000
-4.602 -2.432 2.735
ATOMIC_POSITIONS angstrom
Sb 0.000 0.000 0.000
Sb 1.662 2.425 1.368
Be 4.602 2.432 0.000
Cr 2.940 0.007 1.368
```

Properties
The crystal system is tetragonal.


[10]
## TbPr4Sm2Mg (PBE)

Data for crystalline TbPr4Sm2Mg at its relaxed geometry. Values from VASP.

```
&SYSTEM
  ibrav = 0, nat = 8, ntyp = 4
/
ATOMIC_SPECIES
Tb 158.93 Tb.upf
Pr 140.91 Pr.upf
Sm 150.36 Sm.upf
Mg 24.30 Mg.upf
CELL_PARAMETERS angstrom
5.116 0.000 0.000
0.000 4.991 1.148
0.000 2.706 11.074
ATOMIC_POSITIONS angstrom
Tb 0.000 3.849 6.111
Pr 0.000 5.766 9.203
Pr 5.116 1.932 3.019
Pr 2.558 4.425 3.598
Pr 2.558 3.272 8.624
Sm 0.000 2.706 11.074
Sm 2.558 1.353 5.537
Mg 2.558 5.202 11.648
```

Properties
The crystal system is tetragonal. The calculation puts the calculated formation energy at 0.00 eV per atom.


[11]
## Sr3AlRh (PBE)

Data for crystalline Sr3AlRh at its relaxed geometry. Values from VASP.

```
&SYSTEM
  ibrav = 0, nat = 5, ntyp = 3
/
ATOMIC_SPECIES
Sr 87.62 Sr.upf
Rh 102.91 Rh.upf
Al 26.98 Al.upf
CELL_PARAMETERS angstrom
-5.034 -1.804 -2.112
0.819 -5.141 2.440
-2.655 1.835 4.758
ATOMIC_POSITIONS angstrom
Sr 0.409 -2.571 1.220
Sr -1.327 0.918 2.379
Sr -2.517 -0.902 -1.056
Rh 0.000 0.000 0.000
Al -3.435 -2.555 2.543
```

Properties
The crystal system is cubic. The calculation puts the calculated formation energy at 0.02 eV per atom. The value obtained for the energy above the most stable polymorph in this dataset is 0 meV per atom.


[12]
## AcCuHg2 (PBE)

Data for crystalline AcCuHg2 at its relaxed geometry. Values from VASP.

```
&SYSTEM
  ibrav = 0, nat = 4, ntyp = 3
/
ATOMIC_SPECIES
Ac 227.00 Ac.upf
Hg 200.59 Hg.upf
Cu 63.55 Cu.upf
CELL_PARAMETERS angstrom
4.687 0.000 0.000
2.343 4.059 0.000
2.343 1.353 5.526
ATOMIC_POSITIONS angstrom
Ac 0.000 0.000 0.000
Hg 7.030 4.059 3.591
Hg 2.343 1.353 1.935
Cu 4.687 2.706 2.763
```

Properties
The crystal system is trigonal. The calculation puts the calculated formation energy at -0.21 eV per atom.


[13]
## NaGeMoIr2 (PBE)

Data for crystalline NaGeMoIr2 at its relaxed geometry. Values from VASP.

```
&SYSTEM
  ibrav = 0, nat = 5, ntyp = 4
/
ATOMIC_SPECIES
Na 22.99 Na.upf
Mo 95.94 Mo.upf
Ir 192.22 Ir.upf
Ge 72.64 Ge.upf
CELL_PARAMETERS angstrom
4.575 0.000 0.000
0.000 4.763 0.000
0.000 0.000 4.575
ATOMIC_POSITIONS angstrom
Na 0.000 2.381 0.000
Mo 2.288 2.381 2.288
Ir 0.000 0.000 2.288
Ir 2.288 0.000 0.000
Ge 0.000 0.000 0.000
```

Properties
The crystal system is tetragonal. The calculation puts the calculated formation energy at 1.16 eV per atom.


[14]
## Rb3Ag2HgCl9 (PBE)

Data for crystalline Rb3Ag2HgCl9 at its relaxed geometry. Values from VASP.

```
&SYSTEM
  ibrav = 0, nat = 15, ntyp = 4
/
ATOMIC_SPECIES
Rb 85.47 Rb.upf
Ag 107.87 Ag.upf
Hg 200.59 Hg.upf
Cl 35.45 Cl.upf
CELL_PARAMETERS angstrom
-4.732 -1.570 5.437
7.029 -2.189 0.481
2.139 7.772 4.106
ATOMIC_POSITIONS angstrom
Rb 4.538 3.210 4.877
Rb 0.000 0.000 0.000
Rb -0.102 0.802 5.147
Ag 3.451 -0.737 2.791
Ag 0.984 4.750 7.233
Hg 1.070 3.886 2.053
Cl -1.314 3.541 7.357
Cl 2.160 2.459 7.595
Cl 1.025 4.317 4.670
Cl 3.411 -0.304 5.355
Cl 2.276 1.554 2.429
Cl 5.750 0.472 2.667
Cl -2.366 -0.785 2.719
Cl 3.514 -1.094 0.240
Cl 1.148 -1.879 2.959
```

Properties
The crystal system is trigonal.


[15]
## Re2BW (PBE)

Data for crystalline Re2BW at its relaxed geometry. Values from VASP.

```
&SYSTEM
  ibrav = 0, nat = 4, ntyp = 3
/
ATOMIC_SPECIES
Re 186.21 Re.upf
B 10.81 B.upf
W 183.84 W.upf
CELL_PARAMETERS angstrom
2.873 0.000 0.000
1.437 2.489 0.000
1.437 0.830 7.893
ATOMIC_POSITIONS angstrom
Re 1.437 0.830 5.353
Re 4.310 2.489 2.540
B 2.873 1.659 3.947
W 0.000 0.000 0.000
```

Properties
The crystal system is trigonal. The calculation puts the calculated formation energy at 0.58 eV per atom.


[16]
## AgGeO2F (PBE)

Data for crystalline AgGeO2F at its relaxed geometry. Values from VASP.

```
&SYSTEM
  ibrav = 0, nat = 5, ntyp = 4
/
ATOMIC_SPECIES
Ge 72.64 Ge.upf
O 16.00 O.upf
Ag 107.87 Ag.upf
F 19.00 F.upf
CELL_PARAMETERS angstrom
-2.433 -2.448 1.403
-0.841 -1.140 -3.446
2.991 -2.851 0.213
ATOMIC_POSITIONS angstrom
Ge 0.000 0.000 0.000
O -0.420 -0.570 -1.723
O -1.217 -1.224 0.702
Ag -0.142 -3.219 -0.915
F 1.495 -1.425 0.107
```

Properties
The crystal system is tetragonal.


[17]
## Sr4OsPb (PBE)

Data for crystalline Sr4OsPb at its relaxed geometry. Values from VASP.

```
&SYSTEM
  ibrav = 0, nat = 6, ntyp = 3
/
ATOMIC_SPECIES
Sr 87.62 Sr.upf
Os 190.23 Os.upf
Pb 207.20 Pb.upf
CELL_PARAMETERS angstrom
0.000 4.602 4.602
4.602 0.000 4.602
4.602 4.602 0.000
ATOMIC_POSITIONS angstrom
Sr 3.462 5.743 5.743
Sr 5.743 5.743 3.462
Sr 5.743 3.462 5.743
Sr 3.462 3.462 3.462
Os 6.904 6.904 6.904
Pb 0.000 0.000 0.000
```

Properties
The crystal system is cubic. The calculation puts the calculated formation energy at 1.03 eV per atom.


[18]
## Np2Mn3Ge5 (PBE)

Data for crystalline Np2Mn3Ge5 at its relaxed geometry. Values from VASP.

```
&SYSTEM
  ibrav = 0, nat = 20, ntyp = 3
/
ATOMIC_SPECIES
Np 237.00 Np.upf
Mn 54.94 Mn.upf
Ge 72.64 Ge.upf
CELL_PARAMETERS angstrom
-0.611 4.023 -0.030
-6.028 -0.937 -2.956
-5.050 -2.740 11.164
ATOMIC_POSITIONS angstrom
Np -9.509 -1.379 8.490
Np -6.485 -0.972 1.608
Np -5.409 1.286 6.469
Np -1.929 1.764 -0.189
Mn -8.015 0.872 4.103
Mn -4.307 1.412 1.070
Mn -6.201 -0.955 -1.795
Mn -3.909 -0.564 3.958
Mn -7.878 0.929 8.800
Mn -10.001 -1.474 5.822
Ge -6.527 -0.931 7.947
Ge -6.447 -0.942 4.884
Ge -2.838 1.661 4.472
Ge -2.576 -0.376 1.947
Ge -9.038 -1.346 3.464
Ge -5.442 1.306 9.779
Ge -5.545 1.241 3.294
Ge -8.755 0.778 6.406
Ge -3.932 -0.600 -0.466
Ge -6.534 1.063 -0.443
```

Properties
The crystal system is orthorhombic. The calculation puts the calculated formation energy at -0.10 eV per atom.


[19]
## LiTbEuNi (PBE)

Data for crystalline LiTbEuNi at its relaxed geometry. Values from VASP.

```
&SYSTEM
  ibrav = 0, nat = 4, ntyp = 4
/
ATOMIC_SPECIES
Eu 151.96 Eu.upf
Ni 58.69 Ni.upf
Tb 158.93 Tb.upf
Li 6.94 Li.upf
CELL_PARAMETERS angstrom
5.027 0.000 0.000
2.514 4.354 0.000
2.514 1.451 4.105
ATOMIC_POSITIONS angstrom
Eu 5.027 2.903 2.052
Ni 2.514 1.451 1.026
Tb 0.000 0.000 0.000
Li 7.541 4.354 3.079
```

Properties
The crystal system is cubic. The calculation puts the calculated formation energy at -0.02 eV per atom.


[20]
## Ca2TiF6 (PBE)

Data for crystalline Ca2TiF6 at its relaxed geometry. Values from VASP.

```
&SYSTEM
  ibrav = 0, nat = 18, ntyp = 3
/
ATOMIC_SPECIES
Ca 40.08 Ca.upf
Ti 47.87 Ti.upf
F 19.00 F.upf
CELL_PARAMETERS angstrom
5.118 0.000 0.000
0.000 5.118 0.000
0.000 0.000 10.574
ATOMIC_POSITIONS angstrom
Ca 2.559 2.559 3.530
Ca 2.559 2.559 7.044
Ca 0.000 0.000 1.757
Ca 0.000 0.000 8.817
Ti 2.559 2.559 0.000
Ti 0.000 0.000 5.287
F 3.523 3.523 1.701
F 3.523 3.523 8.873
F 3.614 3.614 5.287
F 4.063 1.055 0.000
F 4.154 0.964 3.586
F 4.154 0.964 6.988
F 0.964 4.154 3.586
F 0.964 4.154 6.988
F 1.055 4.063 0.000
F 1.504 1.504 5.287
F 1.595 1.595 1.701
F 1.595 1.595 8.873
```

Properties
The crystal system is tetragonal.


no.,electronic total energy (eV per cell)
1,-92.0
2,-13.7
3,-92.6
4,-104.2
5,-66.3
6,-26.0
7,-23.9
8,-41.0
9,-19.5
10,-34.8
11,-16.0
12,-9.7
13,-28.7
14,-41.6
15,-42.2
16,-24.6
17,-15.5
18,-155.0
19,-22.7
20,-109.2